No. 1
Sb2WBr: relaxed, GGA-PBE.

The total moment comes out at 0.000 μB per atom. The value obtained for the relative energy among the computed polymorphs is 45.5 kJ per mole of atoms. The calculation puts the uncorrected formation energy at 70.4 kJ/mol of atoms. The calculation puts the final energy at -19.95 eV/f.u.

Lattice parameters (Å, degrees): 6.759 6.759 12.516 90.00 90.00 90.00
Space group I-42d (No. 122)
Unique sites:
Sb  0.171  0.250  0.125
W  0.000  0.000  0.000
Br  0.000  0.000  0.500


No. 2
SbWBr2: relaxed, GGA-PBE.

The total moment comes out at 0.692 μB per atom. The value obtained for the relative energy among the computed polymorphs is 79.5 kJ per mole of atoms. The calculation puts the uncorrected formation energy at 88.3 kJ/mol of atoms. The calculation puts the final energy at -16.76 eV/f.u.

Lattice parameters (Å, degrees): 3.268 4.882 5.777 90.00 90.00 90.00
Space group Pmmm (No. 47)
Unique sites:
Sb  0.000  0.000  0.000
W  0.500  0.000  0.500
Br  0.000  0.500  0.500
Br  0.500  0.500  0.000


No. 3
Sb2WBr: relaxed, GGA-PBE.

The total moment comes out at 0.000 μB per atom. The value obtained for the relative energy among the computed polymorphs is 57.7 kJ per mole of atoms. The calculation puts the uncorrected formation energy at 82.5 kJ/mol of atoms. The calculation puts the final energy at -19.45 eV/f.u.

Lattice parameters (Å, degrees): 4.603 4.603 8.148 90.00 90.00 90.00
Space group I4/mmm (No. 139)
Unique sites:
Sb  0.000  0.500  0.250
W  0.000  0.000  0.000
Br  0.000  0.000  0.500


No. 4
SbWBr2: relaxed, GGA-PBE.

The total moment comes out at 0.095 μB per atom. The value obtained for the relative energy among the computed polymorphs is 37.4 kJ per mole of atoms. The calculation puts the uncorrected formation energy at 46.2 kJ/mol of atoms. The calculation puts the final energy at -18.51 eV/f.u.

Lattice parameters (Å, degrees): 3.010 5.888 11.441 90.00 90.00 90.00
Space group Cmm2 (No. 35)
Unique sites:
Sb  0.000  0.000  0.000
W  0.000  0.500  0.213
Br  0.000  0.000  0.391
Br  0.000  0.500  0.689


No. 5
SbWBr2: relaxed, GGA-PBE.

The total moment comes out at 0.000 μB per atom. The value obtained for the relative energy among the computed polymorphs is 26.1 kJ per mole of atoms. The calculation puts the uncorrected formation energy at 34.9 kJ/mol of atoms. The calculation puts the final energy at -18.97 eV/f.u.

Lattice parameters (Å, degrees): 3.2386 3.2386 35.5717 90.00 90.00 120.00
Space group R-3m (No. 166, hexagonal axes)
Unique sites:
Sb  0.0000  0.0000  0.0000
W  0.0000  0.0000  0.5000
Br  0.0000  0.0000  0.1144


No. 6
SbWBr2: relaxed, GGA-PBE.

The total moment comes out at 0.000 μB per atom. The value obtained for the relative energy among the computed polymorphs is 27.9 kJ per mole of atoms. The calculation puts the uncorrected formation energy at 36.7 kJ/mol of atoms. The calculation puts the final energy at -18.90 eV/f.u.

Lattice parameters (Å, degrees): 2.991 3.351 9.965 90.00 90.00 90.00
Space group Pmm2 (No. 25)
Unique sites:
Sb  0.000  0.000  0.000
W  0.500  0.500  0.189
Br  0.000  0.000  0.352
Br  0.500  0.500  0.672


Copy entry 3 word for word.
Sb2WBr: relaxed, GGA-PBE.

The total moment comes out at 0.000 μB per atom. The value obtained for the relative energy among the computed polymorphs is 57.7 kJ per mole of atoms. The calculation puts the uncorrected formation energy at 82.5 kJ/mol of atoms. The calculation puts the final energy at -19.45 eV/f.u.

Lattice parameters (Å, degrees): 4.603 4.603 8.148 90.00 90.00 90.00
Space group I4/mmm (No. 139)
Unique sites:
Sb  0.000  0.500  0.250
W  0.000  0.000  0.000
Br  0.000  0.000  0.500


Q: relative energy among the computed polymorphs of number 4 (SbWBr2)?
A: 37.4 kJ per mole of atoms


Q: Which value of relative energy among the computed polymorphs does entry 5 give?
A: 26.1 kJ per mole of atoms